! SrPmAsO, optimized geometry, DFT PBE-GGA; values from VASP
&SYSTEM
  ibrav = 0, nat = 8, ntyp = 4
/
ATOMIC_SPECIES
As 74.92 As.upf
O 16.00 O.upf
Pm 145.00 Pm.upf
Sr 87.62 Sr.upf
CELL_PARAMETERS angstrom
1.144 3.813 -2.010
1.260 1.693 3.928
8.739 -3.341 -1.363
ATOMIC_POSITIONS crystal
As 0.750 0.750 0.285
As 0.250 0.250 0.715
O 0.750 0.250 0.000
O 0.250 0.750 0.000
Pm 0.250 0.250 0.094
Pm 0.750 0.750 0.906
Sr 0.750 0.250 0.500
Sr 0.250 0.750 0.500
! total magnetic moment	0.004	μB/cell
! uncorrected energy	-0.42242	Ry/atom
! ΔE to the lowest computed polymorph	312	meV/atom

***

! Cs3HoCl6, optimized geometry, DFT PBE-GGA; values from VASP
&SYSTEM
  ibrav = 0, nat = 10, ntyp = 3
/
ATOMIC_SPECIES
Cl 35.45 Cl.upf
Cs 132.91 Cs.upf
Ho 164.93 Ho.upf
CELL_PARAMETERS angstrom
0.000 5.844 5.844
5.844 0.000 5.844
5.844 5.844 0.000
ATOMIC_POSITIONS crystal
Cl 0.776 0.224 0.224
Cl 0.224 0.776 0.224
Cl 0.776 0.776 0.224
Cl 0.224 0.224 0.776
Cl 0.776 0.224 0.776
Cl 0.224 0.776 0.776
Cs 0.250 0.250 0.250
Cs 0.500 0.500 0.500
Cs 0.750 0.750 0.750
Ho 0.000 0.000 0.000
! total magnetic moment	0.000	μB/cell
! uncorrected energy	-0.29041	Ry/atom
! ΔE to the lowest computed polymorph	40	meV/atom